No. 1
NbAlOs2 | PBE | optimized geometry

Structure (POSCAR):
```
NbAlOs2
1.0
3.131 0.000 0.000
0.000 3.131 0.000
0.000 0.000 6.147
Nb Al Os
1 1 2
direct
0.000 0.000 0.000
0.000 0.000 0.500
0.500 0.500 0.258
0.500 0.500 0.742
```

Calculated density   13.79 g/cm³
Electronic total energy   -9.48 eV per atom
Magnetic moment   0.0 Bohr magnetons per cell
SG   P4/mmm, No. 123

No. 2
NbAlOs | PBE | optimized geometry

Structure (POSCAR):
```
NbAlOs
1.0
0.000 3.048 3.048
3.048 0.000 3.048
3.048 3.048 0.000
Nb Al Os
1 1 1
direct
0.000 0.000 0.000
0.250 0.250 0.250
0.750 0.750 0.750
```

Calculated density   9.10 g/cm³
Electronic total energy   -7.95 eV per atom
Magnetic moment   0.0 Bohr magnetons per cell
SG   F-43m, No. 216

No. 3
NbAlOs | PBE | optimized geometry

Structure (POSCAR):
```
NbAlOs
1.0
0.000 3.030 3.030
3.030 0.000 3.030
3.030 3.030 0.000
Nb Al Os
1 1 1
direct
0.000 0.000 0.000
0.500 0.500 0.500
0.750 0.750 0.750
```

Calculated density   9.26 g/cm³
Electronic total energy   -8.43 eV per atom
Magnetic moment   0.0 Bohr magnetons per cell
SG   F-43m, No. 216

No. 4
NbAlOs2 | PBE | optimized geometry

Structure (POSCAR):
```
NbAlOs2
1.0
4.466 0.000 0.000
-2.233 3.868 0.000
0.000 0.000 7.368
Nb Al Os
2 2 4
direct
0.000 0.000 0.250
0.000 0.000 0.750
0.333 0.667 0.250
0.667 0.333 0.750
0.333 0.667 0.579
0.333 0.667 0.921
0.667 0.333 0.079
0.667 0.333 0.421
```

Calculated density   13.06 g/cm³
Electronic total energy   -8.65 eV per atom
Magnetic moment   0.1 Bohr magnetons per cell
SG   P6_3/mmc, No. 194

No. 5
Nb2Al2Os | PBE | optimized geometry

Structure (POSCAR):
```
Nb2Al2Os
1.0
-1.691 1.691 7.534
1.691 -1.691 7.534
1.691 1.691 -7.534
Nb Al Os
2 2 1
direct
0.100 0.100 0.000
0.900 0.900 0.000
0.250 0.750 0.500
0.750 0.250 0.500
0.500 0.500 0.000
```

Calculated density   8.29 g/cm³
Electronic total energy   -7.49 eV per atom
Magnetic moment   0.0 Bohr magnetons per cell
SG   I4/mmm, No. 139

No. 6
NbAlOs2 | PBE | optimized geometry

Structure (POSCAR):
```
NbAlOs2
1.0
5.567 0.000 0.000
0.000 7.979 0.000
0.000 0.000 5.556
Nb Al Os
4 4 8
direct
0.036 0.250 0.083
0.464 0.750 0.583
0.536 0.250 0.417
0.964 0.750 0.917
0.080 0.250 0.582
0.420 0.750 0.082
0.580 0.250 0.918
0.920 0.750 0.418
0.191 0.509 0.317
0.191 0.991 0.317
0.309 0.009 0.817
0.309 0.491 0.817
0.691 0.509 0.183
0.691 0.991 0.183
0.809 0.009 0.683
0.809 0.491 0.683
```

Calculated density   13.47 g/cm³
Electronic total energy   -9.23 eV per atom
Magnetic moment   0.0 Bohr magnetons per cell
SG   Pnma, No. 62

No. 7
NbAlOs2 | PBE | optimized geometry

Structure (POSCAR):
```
NbAlOs2
1.0
4.223 0.000 0.000
-2.112 3.658 0.000
0.000 0.000 8.412
Nb Al Os
2 2 4
direct
0.333 0.667 0.250
0.667 0.333 0.750
0.000 0.000 0.000
0.000 0.000 0.500
0.333 0.667 0.602
0.333 0.667 0.898
0.667 0.333 0.102
0.667 0.333 0.398
```

Calculated density   12.79 g/cm³
Electronic total energy   -9.26 eV per atom
Magnetic moment   0.0 Bohr magnetons per cell
SG   P6_3/mmc, No. 194

No. 8
NbAlOs2 | PBE | optimized geometry

Structure (POSCAR):
```
NbAlOs2
1.0
4.432 0.000 0.000
-2.216 3.838 0.000
0.000 0.000 7.811
Nb Al Os
2 2 4
direct
0.000 0.000 0.000
0.000 0.000 0.500
0.333 0.667 0.250
0.667 0.333 0.750
0.333 0.667 0.596
0.333 0.667 0.904
0.667 0.333 0.096
0.667 0.333 0.404
```

Calculated density   12.51 g/cm³
Electronic total energy   -9.11 eV per atom
Magnetic moment   0.0 Bohr magnetons per cell
SG   P6_3/mmc, No. 194

No. 9
NbAlOs2 | PBE | optimized geometry

Structure (POSCAR):
```
NbAlOs2
1.0
0.000 3.128 3.128
3.128 0.000 3.128
3.128 3.128 0.000
Nb Al Os
1 1 2
direct
0.000 0.000 0.000
0.750 0.750 0.750
0.250 0.250 0.250
0.500 0.500 0.500
```

Calculated density   13.57 g/cm³
Electronic total energy   -9.01 eV per atom
Magnetic moment   0.0 Bohr magnetons per cell
SG   F-43m, No. 216

No. 10
PaNbAl | PBE | optimized geometry

Structure (POSCAR):
```
PaNbAl
1.0
0.000 3.241 3.241
3.241 0.000 3.241
3.241 3.241 0.000
Pa Nb Al
1 1 1
direct
0.000 0.000 0.000
0.750 0.750 0.750
0.500 0.500 0.500
```

Calculated density   8.56 g/cm³
Electronic total energy   -7.39 eV per atom
Magnetic moment   0.0 Bohr magnetons per cell
Excess energy over the best structure of this formula in the dataset   0.0000 eV/atom
SG   F-43m, No. 216

No. 11
NbAlPb | PBE | optimized geometry

Structure (POSCAR):
```
NbAlPb
1.0
0.000 3.322 3.322
3.322 0.000 3.322
3.322 3.322 0.000
Nb Al Pb
1 1 1
direct
0.000 0.000 0.000
0.250 0.250 0.250
0.750 0.750 0.750
```

Calculated density   7.41 g/cm³
Electronic total energy   -5.18 eV per atom
Magnetic moment   1.6 Bohr magnetons per cell
Excess energy over the best structure of this formula in the dataset   0.0000 eV/atom
SG   F-43m, No. 216

No. 12
NbAlPb | PBE | optimized geometry

Structure (POSCAR):
```
NbAlPb
1.0
0.000 3.333 3.333
3.333 0.000 3.333
3.333 3.333 0.000
Nb Al Pb
1 1 1
direct
0.000 0.000 0.000
0.500 0.500 0.500
0.750 0.750 0.750
```

Calculated density   7.33 g/cm³
Electronic total energy   -4.86 eV per atom
Magnetic moment   1.9 Bohr magnetons per cell
Excess energy over the best structure of this formula in the dataset   0.3211 eV/atom
SG   F-43m, No. 216